Entry 1:
{
  "formula": "CuTcNO2",
  "functional": "GGA-PBE",
  "state": "relaxed",
  "e_form_raw_ev_per_fu": -0.72,
  "space_group": "P4/mmm, No. 123",
  "lattice": [[3.8426, 0.0000, 0.0000], [0.0000, 3.8426, 0.0000], [0.0000, 0.0000, 3.8866]],
  "species": ["O", "O", "Tc", "Cu", "N"],
  "fractional_positions": [[0.0000, 0.5000, 0.0000], [0.5000, 0.0000, 0.0000], [0.0000, 0.0000, 0.0000], [0.5000, 0.5000, 0.5000], [0.0000, 0.0000, 0.5000]]
}

---

Entry 2:
{
  "formula": "CuTeNO2",
  "functional": "GGA-PBE",
  "state": "relaxed",
  "e_form_raw_ev_per_fu": 2.44,
  "space_group": "P4/mmm, No. 123",
  "lattice": [[3.7611, 0.0000, 0.0000], [0.0000, 3.7611, 0.0000], [0.0000, 0.0000, 3.9412]],
  "species": ["Te", "O", "O", "Cu", "N"],
  "fractional_positions": [[0.5000, 0.5000, 0.5000], [0.0000, 0.5000, 0.0000], [0.5000, 0.0000, 0.0000], [0.0000, 0.0000, 0.0000], [0.0000, 0.0000, 0.5000]]
}